[1]
Here is a relaxed Zn2CuPt5Rh crystal from Alexandria via LeMat-Bulk. Energies are from PBE.

Cell and atoms, written as POSCAR:
```
Zn2CuPt5Rh
1.0
-2.966 -6.606 -0.665
5.161 -1.836 -4.783
2.036 2.403 6.803
Pt Zn Cu Rh
10 4 2 2
Direct
0.925 0.425 0.262
0.837 0.925 0.262
0.500 0.500 0.000
0.163 0.075 0.738
0.337 0.837 0.262
0.075 0.575 0.738
0.425 0.337 0.262
0.663 0.163 0.738
0.575 0.663 0.738
0.000 0.000 0.000
0.392 0.892 0.000
0.892 0.608 0.000
0.608 0.108 0.000
0.108 0.392 0.000
0.750 0.750 0.500
0.250 0.250 0.500
0.750 0.250 0.500
0.250 0.750 0.500
```

Results
Its crystal system is tetragonal. Its symmetry is I4/mcm, No. 140.


[2]
Here is a relaxed ZrCuPtRh crystal from Alexandria via LeMat-Bulk. Energies are from PBE.

Cell and atoms, written as POSCAR:
```
ZrCuPtRh
1.0
4.484 0.000 0.000
2.242 3.884 0.000
2.242 1.295 3.661
Pt Cu Rh Zr
1 1 1 1
Direct
0.000 0.000 0.000
0.750 0.750 0.750
0.500 0.500 0.500
0.250 0.250 0.250
```

Results
Its crystal system is cubic. Its symmetry is F-43m, No. 216. The energy above the most stable polymorph in this dataset is 0.38 eV/f.u.


[3]
Here is a relaxed ZrCuPtRh crystal from Alexandria via LeMat-Bulk. Energies are from PBE.

Cell and atoms, written as POSCAR:
```
ZrCuPtRh
1.0
3.744 0.000 0.000
0.000 3.986 0.000
0.000 0.000 4.189
Cu Zr Rh Pt
1 1 1 1
Direct
0.000 0.500 0.500
0.000 0.000 0.000
0.500 0.500 0.000
0.500 0.000 0.500
```

Results
Its crystal system is orthorhombic. Its symmetry is Pmmm, No. 47. The energy above the most stable polymorph in this dataset is 0.00 eV/f.u.


[4]
Here is a relaxed Cu2RuPt crystal from Alexandria via LeMat-Bulk. Energies are from PBE.

Cell and atoms, written as POSCAR:
```
Cu2RuPt
1.0
-2.049 0.161 1.681
-0.501 -0.286 -2.592
0.092 -8.918 0.968
Ru Cu Pt
1 2 1
Direct
0.500 0.500 0.750
0.000 0.000 0.503
0.000 0.000 0.997
0.500 0.500 0.250
```

Results
Its crystal system is orthorhombic. Its symmetry is Cmmm, No. 65. The energy above the most stable polymorph in this dataset is 0.42 eV/f.u.


[5]
Here is a relaxed Cu2RuPt crystal from Alexandria via LeMat-Bulk. Energies are from PBE.

Cell and atoms, written as POSCAR:
```
Cu2RuPt
1.0
5.106 0.002 0.004
2.425 4.494 -0.004
-3.191 -3.211 2.362
Cu Pt Ru
2 1 1
Direct
0.010 0.010 0.000
0.241 0.741 0.500
0.495 0.495 0.000
0.754 0.254 0.500
```

Results
Its crystal system is orthorhombic. Its symmetry is Imm2, No. 44. The energy above the most stable polymorph in this dataset is 0.47 eV/f.u.


[6]
Here is a relaxed Cu2RuPt crystal from Alexandria via LeMat-Bulk. Energies are from PBE.

Cell and atoms, written as POSCAR:
```
Cu2RuPt
1.0
6.807 0.000 0.000
0.000 6.807 0.000
3.403 3.403 2.605
Pt Cu Ru
2 4 2
Direct
0.000 0.000 0.000
0.750 0.250 0.500
0.624 0.125 0.250
0.875 0.874 0.750
0.375 0.376 0.750
0.126 0.625 0.250
0.250 0.750 0.500
0.500 0.500 0.000
```

Results
Its crystal system is tetragonal. Its symmetry is I-42d, No. 122. The energy above the most stable polymorph in this dataset is 2.26 eV/f.u.


[7]
Here is a relaxed CuRu2Pt crystal from Alexandria via LeMat-Bulk. Energies are from PBE.

Cell and atoms, written as POSCAR:
```
CuRu2Pt
1.0
-6.146 3.187 0.680
-0.296 -1.993 6.659
-2.042 2.725 4.359
Pt Ru Cu
2 4 2
Direct
0.750 0.250 0.500
0.000 0.000 0.000
0.614 0.125 0.250
0.875 0.864 0.750
0.136 0.625 0.250
0.375 0.386 0.750
0.250 0.750 0.500
0.500 0.500 0.000
```

Results
Its crystal system is tetragonal. Its symmetry is I-42d, No. 122. The energy above the most stable polymorph in this dataset is 2.79 eV/f.u.


[8]
Here is a relaxed CuRu2Pt crystal from Alexandria via LeMat-Bulk. Energies are from PBE.

Cell and atoms, written as POSCAR:
```
CuRu2Pt
1.0
-0.052 3.188 2.301
1.564 -1.283 1.812
5.849 0.533 -0.605
Pt Ru Cu
1 2 1
Direct
0.500 0.750 0.750
0.000 0.990 0.011
0.000 0.510 0.489
0.500 0.250 0.250
```

Results
Its crystal system is orthorhombic. Its symmetry is Pmmm, No. 47. The energy above the most stable polymorph in this dataset is 0.58 eV/f.u.


[9]
Here is a relaxed Cu2RuPt4 crystal from Alexandria via LeMat-Bulk. Energies are from PBE.

Cell and atoms, written as POSCAR:
```
Cu2RuPt4
1.0
6.562 0.012 -0.020
-2.175 6.191 0.020
-2.211 -3.088 5.351
Pt Cu Ru
8 4 2
Direct
0.458 0.081 0.208
0.127 0.419 0.377
0.958 0.581 0.708
0.292 0.250 0.873
0.623 0.750 0.042
0.623 0.750 0.542
0.792 0.250 0.873
0.127 0.919 0.377
0.501 0.376 0.625
0.875 0.124 0.499
0.249 0.624 0.125
0.375 0.876 0.751
0.750 0.500 0.250
0.000 0.000 0.000
```

Results
Its crystal system is tetragonal. Its symmetry is I-42d, No. 122. The energy above the most stable polymorph in this dataset is 1.32 eV/f.u.


[10]
Here is a relaxed Cu2RuPt crystal from Alexandria via LeMat-Bulk. Energies are from PBE.

Cell and atoms, written as POSCAR:
```
Cu2RuPt
1.0
3.827 0.000 0.000
0.000 2.681 0.021
0.000 2.609 5.334
Pt Cu Ru
1 2 1
Direct
0.000 0.493 0.505
0.500 0.261 0.238
0.000 0.993 0.008
0.500 0.752 0.749
```

Results
Its crystal system is monoclinic. Its symmetry is Pm, No. 6. The energy above the most stable polymorph in this dataset is 0.18 eV/f.u.


[11]
Here is a relaxed Cu2RuPt6 crystal from Alexandria via LeMat-Bulk. Energies are from PBE.

Cell and atoms, written as POSCAR:
```
Cu2RuPt6
1.0
-2.267 1.522 0.213
0.246 -1.812 -2.038
-8.699 -14.635 11.962
Cu Ru Pt
2 1 6
Direct
0.667 0.333 0.670
0.667 0.333 0.330
0.333 0.667 0.000
0.667 0.333 0.893
0.333 0.667 0.226
0.333 0.667 0.433
0.667 0.333 0.107
0.333 0.667 0.774
0.333 0.667 0.567
```

Results
Its crystal system is hexagonal. Its symmetry is P-6m2, No. 187.


[12]
Here is a relaxed CuRu2Pt crystal from Alexandria via LeMat-Bulk. Energies are from PBE.

Cell and atoms, written as POSCAR:
```
CuRu2Pt
1.0
4.327 0.000 0.000
2.164 3.748 0.000
2.164 1.249 3.533
Ru Cu Pt
2 1 1
Direct
0.250 0.250 0.250
0.000 0.000 0.000
0.500 0.500 0.500
0.750 0.750 0.750
```

Results
Its crystal system is cubic. Its symmetry is F-43m, No. 216. The energy above the most stable polymorph in this dataset is 1.21 eV/f.u.


[13]
Here is a relaxed CuRu2Pt crystal from Alexandria via LeMat-Bulk. Energies are from PBE.

Cell and atoms, written as POSCAR:
```
CuRu2Pt
1.0
4.768 -0.009 0.000
1.819 4.407 0.000
-3.293 -2.199 2.655
Ru Cu Pt
2 1 1
Direct
0.500 0.500 0.000
0.000 0.000 0.000
0.250 0.750 0.500
0.750 0.250 0.500
```

Results
Its crystal system is tetragonal. Its symmetry is I4/mmm, No. 139. The energy above the most stable polymorph in this dataset is 0.48 eV/f.u.


[14]
Here is a relaxed Cu2RuPt crystal from Alexandria via LeMat-Bulk. Energies are from PBE.

Cell and atoms, written as POSCAR:
```
Cu2RuPt
1.0
-0.524 2.006 4.165
1.720 0.555 4.287
2.511 3.823 -0.722
Cu Pt Ru
2 1 1
Direct
0.999 0.999 0.983
0.750 0.750 0.768
0.502 0.502 0.485
0.249 0.249 0.264
```

Results
Its crystal system is monoclinic. Its symmetry is Cm, No. 8. The energy above the most stable polymorph in this dataset is 0.17 eV/f.u.


[15]
Here is a relaxed CuRuPt crystal from Alexandria via LeMat-Bulk. Energies are from PBE.

Cell and atoms, written as POSCAR:
```
CuRuPt
1.0
7.291 0.037 -0.023
6.552 2.602 -0.023
0.738 -1.134 2.300
Cu Pt Ru
1 1 1
Direct
0.998 0.998 0.002
0.663 0.663 0.337
0.339 0.339 0.661
```

Results
Its crystal system is orthorhombic. Its symmetry is Fmm2, No. 42. The energy above the most stable polymorph in this dataset is 0.43 eV/f.u.


[16]
Here is a relaxed CuRu4Pt crystal from Alexandria via LeMat-Bulk. Energies are from PBE.

Cell and atoms, written as POSCAR:
```
CuRu4Pt
1.0
3.186 -3.524 1.746
-1.239 -2.736 4.074
-1.136 -4.907 -0.497
Ru Cu Pt
4 1 1
Direct
0.625 0.625 0.625
0.125 0.625 0.625
0.625 0.625 0.125
0.625 0.125 0.625
0.250 0.250 0.250
0.000 0.000 0.000
```

Results
Its crystal system is cubic. Its symmetry is F-43m, No. 216.


[17]
Here is a relaxed CuRu2Pt crystal from Alexandria via LeMat-Bulk. Energies are from PBE.

Cell and atoms, written as POSCAR:
```
CuRu2Pt
1.0
-0.919 4.335 1.774
-3.844 -2.158 -1.830
-0.530 -1.097 2.406
Ru Cu Pt
2 1 1
Direct
0.500 0.500 0.000
0.000 0.000 0.000
0.500 0.000 0.500
0.000 0.500 0.500
```

Results
Its crystal system is orthorhombic. Its symmetry is Cmmm, No. 65. The energy above the most stable polymorph in this dataset is 0.75 eV/f.u.


[18]
Here is a relaxed CuRuPt crystal from Alexandria via LeMat-Bulk. Energies are from PBE.

Cell and atoms, written as POSCAR:
```
CuRuPt
1.0
-0.328 3.659 4.752
-2.613 0.633 5.371
2.933 -3.082 -4.239
Ru Pt Cu
1 1 1
Direct
0.665 0.665 0.000
0.333 0.333 0.000
0.002 0.002 0.000
```

Results
Its crystal system is tetragonal. Its symmetry is I4mm, No. 107. The energy above the most stable polymorph in this dataset is 0.01 eV/f.u.


[19]
Here is a relaxed Cu2RuPt crystal from Alexandria via LeMat-Bulk. Energies are from PBE.

Cell and atoms, written as POSCAR:
```
Cu2RuPt
1.0
4.627 -0.004 0.000
1.533 4.366 0.000
-3.080 -2.181 2.677
Cu Ru Pt
2 1 1
Direct
0.250 0.750 0.500
0.000 0.000 0.000
0.750 0.250 0.500
0.500 0.500 0.000
```

Results
Its crystal system is tetragonal. Its symmetry is I-4m2, No. 119. The energy above the most stable polymorph in this dataset is 0.29 eV/f.u.


[20]
Here is a relaxed CuRu2Pt crystal from Alexandria via LeMat-Bulk. Energies are from PBE.

Cell and atoms, written as POSCAR:
```
CuRu2Pt
1.0
-1.305 -4.047 0.744
-1.775 -1.032 3.797
-4.215 -0.899 0.239
Ru Pt Cu
2 1 1
Direct
0.250 0.250 0.250
0.750 0.750 0.750
0.500 0.500 0.500
0.000 0.000 0.000
```

Results
Its crystal system is cubic. Its symmetry is Fm-3m, No. 225. The energy above the most stable polymorph in this dataset is 1.35 eV/f.u.


Number 1: D(E_F) 10.1 states/eV/f.u., ΔE_f 0.16 eV/atom. Number 2: D(E_F) 1.7 states/eV/f.u., ΔE_f -0.64 eV/atom. Number 3: D(E_F) 1.0 states/eV/f.u., ΔE_f -0.74 eV/atom. Number 4: D(E_F) 3.8 states/eV/f.u., ΔE_f 0.15 eV/atom. Number 5: D(E_F) 4.2 states/eV/f.u., ΔE_f 0.17 eV/atom. Number 6: D(E_F) 3.6 states/eV/f.u., ΔE_f 0.61 eV/atom. Number 7: D(E_F) 4.8 states/eV/f.u., ΔE_f 0.73 eV/atom. Number 8: D(E_F) 5.2 states/eV/f.u., ΔE_f 0.18 eV/atom. Number 9: D(E_F) 8.6 states/eV/f.u., ΔE_f 0.26 eV/atom. Number 10: D(E_F) 4.8 states/eV/f.u., ΔE_f 0.09 eV/atom. Number 11: D(E_F) 9.6 states/eV/f.u., ΔE_f -0.02 eV/atom. Number 12: D(E_F) 5.6 states/eV/f.u., ΔE_f 0.34 eV/atom. Number 13: D(E_F) 4.6 states/eV/f.u., ΔE_f 0.15 eV/atom. Number 14: D(E_F) 4.3 states/eV/f.u., ΔE_f 0.09 eV/atom. Number 15: D(E_F) 4.3 states/eV/f.u., ΔE_f 0.24 eV/atom. Number 16: D(E_F) 10.4 states/eV/f.u., ΔE_f 0.65 eV/atom. Number 17: D(E_F) 6.0 states/eV/f.u., ΔE_f 0.22 eV/atom. Number 18: D(E_F) 3.8 states/eV/f.u., ΔE_f 0.10 eV/atom. Number 19: D(E_F) 4.4 states/eV/f.u., ΔE_f 0.12 eV/atom. Number 20: D(E_F) 6.7 states/eV/f.u., ΔE_f 0.37 eV/atom.